Material: MgCoI2O
Method: DFT, GGA+U
State: relaxed

Cell lengths 5.6852, 5.6852, 3.6763 Å; angles 90.00, 90.00, 90.00 degrees
Space group P4/mmm (No. 123)
Symmetry-distinct sites (fractional):
Mg (0.0000, 0.0000, 0.0000) x1
Co (0.5000, 0.5000, 0.5000) x1
I (0.0000, 0.5000, 0.5000) x2
O (0.5000, 0.5000, 0.0000) x1

As for the energy relative to the lowest polymorph listed for this composition: 0.0 meV per atom. The value obtained for the mass density is 4.934 g/cm³. The total energy comes out at -16.5 eV for the cell shown.